## Ac12ScSn6 (GGA-PBE)

Data for a geometry-optimized Ac12ScSn6 structure.

## Properties
Its uncorrected energy is -4.41 eV/atom. As for the symmetry: R-3 (148).

Cell lengths 9.569, 9.569, 9.569 Å; angles 100.60, 100.60, 100.60 degrees
Atoms (fractional coordinates):
Ac 0.033 0.937 0.675
Ac 0.063 0.325 0.967
Ac 0.184 0.558 0.418
Ac 0.325 0.967 0.063
Ac 0.418 0.184 0.558
Ac 0.442 0.582 0.816
Ac 0.558 0.418 0.184
Ac 0.582 0.816 0.442
Ac 0.675 0.033 0.937
Ac 0.816 0.442 0.582
Ac 0.937 0.675 0.033
Ac 0.967 0.063 0.325
Sc 0.000 0.000 0.000
Sn 0.128 0.312 0.635
Sn 0.312 0.635 0.128
Sn 0.365 0.872 0.688
Sn 0.635 0.128 0.312
Sn 0.688 0.365 0.872
Sn 0.872 0.688 0.365